No. 1
The following is a PBE calculation of CoHg2Te after structural relaxation, from the Alexandria database.

abc: 5.306 5.306 5.306
angles: 129.44 129.44 74.30
Atoms (fractional coordinates):
Co1 0.000 0.000 0.000
Hg1 0.250 0.750 0.500
Hg2 0.500 0.500 0.000
Te1 0.750 0.250 0.500

Output
* uncorrected formation energy: 2.187 eV/f.u.
* space-group type: I-4m2 (119)
* total magnetic moment: 0.422 μB/atom

***

No. 2
The following is a PBE calculation of CoHg2Te after structural relaxation, from the Alexandria database.

abc: 10.163 10.163 10.163
angles: 18.34 18.34 18.34
Atoms (fractional coordinates):
Co1 0.000 0.000 0.000
Hg1 0.267 0.267 0.267
Hg2 0.733 0.733 0.733
Te1 0.500 0.500 0.500

Output
* uncorrected formation energy: 1.811 eV/f.u.
* space-group type: R-3m (166)
* total magnetic moment: 0.468 μB/atom

***

No. 3
The following is a PBE calculation of CoHg2Te after structural relaxation, from the Alexandria database.

abc: 3.071 3.071 9.749
angles: 90.00 90.00 90.00
Atoms (fractional coordinates):
Co1 0.000 0.000 0.000
Hg1 0.500 0.500 0.175
Hg2 0.500 0.500 0.825
Te1 0.000 0.000 0.500

Output
* uncorrected formation energy: 1.638 eV/f.u.
* space-group type: P4/mmm (123)
* total magnetic moment: 0.307 μB/atom

***

No. 4
The following is a PBE calculation of CoHg2Te after structural relaxation, from the Alexandria database.

abc: 7.315 7.315 4.171
angles: 106.43 106.43 24.87
Atoms (fractional coordinates):
Co1 0.000 0.000 0.000
Hg1 0.314 0.314 0.813
Hg2 0.686 0.686 0.187
Te1 0.500 0.500 0.500

Output
* uncorrected formation energy: 1.165 eV/f.u.
* space-group type: C2/m (12)
* total magnetic moment: 0.280 μB/atom

***

No. 5
The following is a PBE calculation of CoHg2Te after structural relaxation, from the Alexandria database.

abc: 4.016 4.011 5.920
angles: 90.00 91.80 90.00
Atoms (fractional coordinates):
Co1 0.000 0.000 0.000
Hg1 0.000 0.000 0.500
Hg2 0.500 0.500 0.500
Te1 0.500 0.500 0.000

Output
* uncorrected formation energy: 1.587 eV/f.u.
* space-group type: P2/m (10)
* total magnetic moment: 0.441 μB/atom

***

No. 6
The following is a PBE calculation of CoHg2Te after structural relaxation, from the Alexandria database.

abc: 3.562 3.562 8.781
angles: 101.92 101.92 59.95
Atoms (fractional coordinates):
Co1 0.000 0.000 0.000
Hg1 0.498 0.498 0.498
Hg2 0.739 0.739 0.214
Te1 0.280 0.280 0.842

Output
* uncorrected formation energy: 0.373 eV/f.u.
* space-group type: Cm (8)
* total magnetic moment: 0.000 μB/atom

***

No. 7
The following is a PBE calculation of CoHg2Te after structural relaxation, from the Alexandria database.

abc: 3.143 3.143 9.258
angles: 90.00 90.00 90.00
Atoms (fractional coordinates):
Co1 0.000 0.000 0.000
Hg1 0.000 0.000 0.503
Hg2 0.500 0.500 0.216
Te1 0.500 0.500 0.859

Output
* uncorrected formation energy: 0.728 eV/f.u.
* space-group type: P4mm (99)
* total magnetic moment: 0.129 μB/atom

***

No. 8
The following is a PBE calculation of CoHg2Te after structural relaxation, from the Alexandria database.

abc: 6.969 6.969 6.969
angles: 154.58 141.37 46.81
Atoms (fractional coordinates):
Co1 0.000 0.000 0.000
Hg1 0.181 0.681 0.500
Hg2 0.520 0.520 0.000
Te1 0.843 0.343 0.500

Output
* uncorrected formation energy: 0.739 eV/f.u.
* space-group type: Imm2 (44)
* total magnetic moment: 0.000 μB/atom

***

No. 9
The following is a PBE calculation of VCoHgTe3 after structural relaxation, from the Alexandria database.

abc: 9.710 3.574 10.144
angles: 90.00 114.81 90.00
Atoms (fractional coordinates):
V1 0.033 0.250 0.315
V2 0.967 0.750 0.685
Co1 0.021 0.750 0.103
Co2 0.979 0.250 0.897
Hg1 0.484 0.750 0.769
Hg2 0.516 0.250 0.231
Te1 0.144 0.250 0.617
Te2 0.179 0.750 0.955
Te3 0.247 0.750 0.346
Te4 0.753 0.250 0.654
Te5 0.821 0.250 0.045
Te6 0.856 0.750 0.383

Output
* uncorrected formation energy: -1.137 eV/f.u.
* space-group type: P2_1/m (11)
* total magnetic moment: 0.204 μB/atom

***

No. 10
The following is a PBE calculation of ZnCoHg2Te after structural relaxation, from the Alexandria database.

abc: 5.097 5.097 4.761
angles: 90.00 90.00 90.00
Atoms (fractional coordinates):
Zn1 0.000 0.000 0.000
Co1 0.000 0.000 0.500
Hg1 0.000 0.500 0.000
Hg2 0.500 0.000 0.000
Te1 0.500 0.500 0.500

Output
* uncorrected formation energy: 3.251 eV/f.u.
* space-group type: P4/mmm (123)
* total magnetic moment: 0.394 μB/atom

***

No. 11
The following is a PBE calculation of Th3CoHg2 after structural relaxation, from the Alexandria database.

abc: 6.894 6.894 7.947
angles: 97.43 97.43 113.14
Atoms (fractional coordinates):
Th1 0.046 0.424 0.779
Th2 0.179 0.179 0.180
Th3 0.424 0.046 0.779
Th4 0.576 0.954 0.221
Th5 0.821 0.821 0.820
Th6 0.954 0.576 0.221
Co1 0.179 0.821 0.000
Co2 0.821 0.179 0.000
Hg1 0.000 0.000 0.500
Hg2 0.370 0.630 0.500
Hg3 0.500 0.500 0.000
Hg4 0.630 0.370 0.500

Output
* space-group type: C2/m (12)
* E_form: -173 meV/atom
* total magnetic moment: 0.000 μB/atom

***

No. 12
The following is a PBE calculation of Th3Co2Hg after structural relaxation, from the Alexandria database.

abc: 7.265 3.827 10.481
angles: 90.00 90.00 90.00
Atoms (fractional coordinates):
Th1 0.000 0.000 0.000
Th2 0.000 0.500 0.297
Th3 0.000 0.500 0.703
Th4 0.500 0.000 0.000
Th5 0.500 0.500 0.297
Th6 0.500 0.500 0.703
Co1 0.250 0.000 0.221
Co2 0.250 0.500 0.900
Co3 0.750 0.000 0.779
Co4 0.750 0.500 0.100
Hg1 0.250 0.000 0.500
Hg2 0.750 0.000 0.500

Output
* space-group type: Pmma (51)
* E_form: -217 meV/atom
* total magnetic moment: 0.000 μB/atom

***

No. 13
The following is a PBE calculation of Th2CoHg after structural relaxation, from the Alexandria database.

abc: 8.376 8.376 8.376
angles: 27.09 27.09 27.09
Atoms (fractional coordinates):
Th1 0.000 0.000 0.000
Th2 0.206 0.206 0.206
Co1 0.604 0.604 0.604
Hg1 0.435 0.435 0.435

Output
* space-group type: R3m (160)
* E_form: -250 meV/atom
* total magnetic moment: 0.000 μB/atom

***

No. 14
The following is a PBE calculation of Th7Co2Hg2 after structural relaxation, from the Alexandria database.

abc: 6.923 6.923 6.933
angles: 90.00 90.00 109.17
Atoms (fractional coordinates):
Th1 0.000 0.000 0.000
Th2 0.000 0.500 0.253
Th3 0.000 0.500 0.747
Th4 0.500 0.000 0.253
Th5 0.500 0.000 0.747
Th6 0.500 0.500 0.229
Th7 0.500 0.500 0.771
Co1 0.268 0.732 0.000
Co2 0.732 0.268 0.000
Hg1 0.173 0.173 0.500
Hg2 0.827 0.827 0.500

Output
* space-group type: Cmmm (65)
* E_form: -49 meV/atom
* total magnetic moment: 0.000 μB/atom